# Tb2PuIr2

An optimized crystal structure of Tb2PuIr2 (PBE, the Alexandria database).

## Properties
electronic total energy = -87.645 eV/cell
crystal system = orthorhombic
total magnetization = 11.20 μB/cell
energy of formation = -0.502 eV/atom

Unit cell a=7.2351 b=7.2351 c=7.2351 alpha=114.75 beta=84.42 gamma=132.72
With the nearest neighbours (Å) after each atom.
Element x y z (fractional)
Tb 0.1733 0.1410 0.3143  5 Ir 2.80-3.09
Tb 0.3267 0.6410 0.9677  5 Ir 2.80-3.09
Tb 0.6733 0.3590 0.0323  5 Ir 2.80-3.09
Tb 0.8267 0.8590 0.6857  5 Ir 2.80-3.09
Pu 0.2500 0.7500 0.5000  4 Ir 2.83, 2 Pu 2.90
Pu 0.7500 0.2500 0.5000  4 Ir 2.83, 2 Pu 2.90
Ir 0.0882 0.7877 0.8759  5 Tb 2.80-3.09, 2 Pu 2.83
Ir 0.4118 0.2877 0.6995  5 Tb 2.80-3.09, 2 Pu 2.83
Ir 0.5882 0.7123 0.3005  5 Tb 2.80-3.09, 2 Pu 2.83
Ir 0.9118 0.2123 0.1241  5 Tb 2.80-3.09, 2 Pu 2.83

=====

# Cs2SiW

An optimized crystal structure of Cs2SiW (PBE, the Alexandria database).

## Properties
electronic total energy = -49.208 eV/cell
crystal system = cubic
total magnetization = 11.72 μB/cell
uncorrected formation energy = 1.945 eV per atom

Unit cell a=8.6785 b=8.6785 c=8.6785 alpha=90.00 beta=90.00 gamma=90.00
With the nearest neighbours (Å) after each atom.
Element x y z (fractional)
Cs 0.2500 0.2500 0.2500  4 W 3.76, 4 Si 3.76
Cs 0.2500 0.2500 0.7500  4 W 3.76, 4 Si 3.76
Cs 0.2500 0.7500 0.2500  4 W 3.76, 4 Si 3.76
Cs 0.2500 0.7500 0.7500  4 W 3.76, 4 Si 3.76
Cs 0.7500 0.2500 0.2500  4 W 3.76, 4 Si 3.76
Cs 0.7500 0.2500 0.7500  4 W 3.76, 4 Si 3.76
Cs 0.7500 0.7500 0.2500  4 W 3.76, 4 Si 3.76
Cs 0.7500 0.7500 0.7500  4 W 3.76, 4 Si 3.76
Si 0.0000 0.0000 0.0000  8 Cs 3.76
Si 0.0000 0.5000 0.5000  8 Cs 3.76
Si 0.5000 0.0000 0.5000  8 Cs 3.76
Si 0.5000 0.5000 0.0000  8 Cs 3.76
W 0.0000 0.0000 0.5000  8 Cs 3.76
W 0.0000 0.5000 0.0000  8 Cs 3.76
W 0.5000 0.0000 0.0000  8 Cs 3.76
W 0.5000 0.5000 0.5000  8 Cs 3.76

=====

# Rb3CrPt

An optimized crystal structure of Rb3CrPt (PBE, the Alexandria database).

## Properties
electronic total energy = -15.477 eV/cell
crystal system = cubic
total magnetization = 5.00 μB/cell
energy of formation = 0.618 eV/atom

Unit cell a=6.4395 b=6.4395 c=6.4395 alpha=90.00 beta=90.00 gamma=90.00
With the nearest neighbours (Å) after each atom.
Element x y z (fractional)
Rb 0.0000 0.0000 0.5000  2 Pt 3.22
Rb 0.0000 0.5000 0.0000  2 Pt 3.22
Rb 0.5000 0.0000 0.0000  2 Pt 3.22
Cr 0.5000 0.5000 0.5000  12 Rb 4.55
Pt 0.0000 0.0000 0.0000  6 Rb 3.22

=====

# NbSe3Br

An optimized crystal structure of NbSe3Br (PBE, the Alexandria database).

## Properties
electronic total energy = -48.492 eV/cell
crystal system = triclinic
total magnetization = 0.00 μB/cell
uncorrected formation energy = -0.410 eV per atom

Unit cell a=4.9741 b=8.2579 c=9.3218 alpha=97.10 beta=105.43 gamma=107.52
With the nearest neighbours (Å) after each atom.
Element x y z (fractional)
Nb 0.1136 0.4237 0.3024  5 Se 2.42-2.68, 1 Br 2.60
Nb 0.8864 0.5763 0.6976  5 Se 2.42-2.68, 1 Br 2.60
Se 0.1202 0.7811 0.9590  1 Se 2.41, 1 Nb 2.54
Se 0.1851 0.6770 0.1918  1 Se 2.41, 1 Nb 2.42
Se 0.3262 0.5475 0.6055  3 Nb 2.61-2.68
Se 0.6738 0.4525 0.3945  3 Nb 2.61-2.68
Se 0.8149 0.3230 0.8082  1 Se 2.41, 1 Nb 2.42
Se 0.8798 0.2189 0.0410  1 Se 2.41, 1 Nb 2.54
Br 0.0435 0.9025 0.6850  1 Nb 2.60, 1 Se 2.83
Br 0.9565 0.0975 0.3150  1 Nb 2.60, 1 Se 2.83

=====

# CaLaY2Pt

An optimized crystal structure of CaLaY2Pt (PBE, the Alexandria database).

## Properties
electronic total energy = -27.739 eV/cell
crystal system = tetragonal
total magnetization = 0.09 μB/cell
energy of formation = -0.368 eV/atom

Unit cell a=5.5114 b=5.5114 c=5.6362 alpha=90.00 beta=90.00 gamma=90.00
With the nearest neighbours (Å) after each atom.
Element x y z (fractional)
Ca 0.0000 0.0000 0.0000  2 Pt 2.82
La 0.5000 0.5000 0.0000  4 Ca 3.90, 8 Y 3.94
Y 0.0000 0.5000 0.5000  2 Pt 2.76
Y 0.5000 0.0000 0.5000  2 Pt 2.76
Pt 0.0000 0.0000 0.5000  4 Y 2.76, 2 Ca 2.82

=====

# NbReNi2

An optimized crystal structure of NbReNi2 (PBE, the Alexandria database).

## Properties
electronic total energy = -34.463 eV/cell
crystal system = tetragonal
total magnetization = 0.00 μB/cell
energy of formation = -0.096 eV/atom

Unit cell a=3.8063 b=3.8063 c=3.7648 alpha=90.00 beta=90.00 gamma=90.00
With the nearest neighbours (Å) after each atom.
Element x y z (fractional)
Nb 0.0000 0.0000 0.0000  8 Ni 2.68, 4 Re 2.69
Re 0.5000 0.5000 0.0000  8 Ni 2.68, 4 Nb 2.69
Ni 0.0000 0.5000 0.5000  4 Nb 2.68, 4 Re 2.68, 4 Ni 2.69
Ni 0.5000 0.0000 0.5000  4 Nb 2.68, 4 Re 2.68, 4 Ni 2.69

=====

# CaCrMo4

An optimized crystal structure of CaCrMo4 (PBE, the Alexandria database).

## Properties
electronic total energy = -51.607 eV/cell
crystal system = cubic
total magnetization = 1.82 μB/cell
energy of formation = 0.557 eV/atom

Unit cell a=5.3567 b=5.3567 c=5.3567 alpha=60.00 beta=60.00 gamma=60.00
With the nearest neighbours (Å) after each atom.
Element x y z (fractional)
Ca 0.0000 0.0000 0.0000  12 Mo 3.14, 4 Cr 3.28
Cr 0.7500 0.7500 0.7500  12 Mo 3.14, 4 Ca 3.28
Mo 0.3746 0.3746 0.3746  6 Mo 2.67-2.69
Mo 0.3746 0.3746 0.8761  6 Mo 2.67-2.69
Mo 0.3746 0.8761 0.3746  6 Mo 2.67-2.69
Mo 0.8761 0.3746 0.3746  6 Mo 2.67-2.69

=====

# YLuRhPb

An optimized crystal structure of YLuRhPb (PBE, the Alexandria database).

## Properties
electronic total energy = -96.655 eV/cell
crystal system = cubic
total magnetization = 0.00 μB/cell
energy of formation = -0.530 eV/atom

Unit cell a=7.2166 b=7.2166 c=7.2166 alpha=90.00 beta=90.00 gamma=90.00
With the nearest neighbours (Å) after each atom.
Element x y z (fractional)
Y 0.0000 0.0000 0.0000  4 Rh 3.12, 4 Pb 3.12
Y 0.0000 0.5000 0.5000  4 Rh 3.12, 4 Pb 3.12
Y 0.5000 0.0000 0.5000  4 Rh 3.12, 4 Pb 3.12
Y 0.5000 0.5000 0.0000  4 Rh 3.12, 4 Pb 3.12
Lu 0.0000 0.0000 0.5000  4 Pb 3.12, 4 Rh 3.12
Lu 0.0000 0.5000 0.0000  4 Pb 3.12, 4 Rh 3.12
Lu 0.5000 0.0000 0.0000  4 Pb 3.12, 4 Rh 3.12
Lu 0.5000 0.5000 0.5000  4 Pb 3.12, 4 Rh 3.12
Rh 0.2500 0.2500 0.7500  4 Y 3.12, 4 Lu 3.12
Rh 0.2500 0.7500 0.2500  4 Y 3.12, 4 Lu 3.12
Rh 0.7500 0.2500 0.2500  4 Y 3.12, 4 Lu 3.12
Rh 0.7500 0.7500 0.7500  4 Y 3.12, 4 Lu 3.12
Pb 0.2500 0.2500 0.2500  4 Y 3.12, 4 Lu 3.12
Pb 0.2500 0.7500 0.7500  4 Y 3.12, 4 Lu 3.12
Pb 0.7500 0.2500 0.7500  4 Y 3.12, 4 Lu 3.12
Pb 0.7500 0.7500 0.2500  4 Y 3.12, 4 Lu 3.12

=====

# TbNdU2As4

An optimized crystal structure of TbNdU2As4 (PBE, the Alexandria database).

## Properties
electronic total energy = -59.598 eV/cell
crystal system = monoclinic
total magnetization = 4.90 μB/cell
energy of formation = -1.128 eV/atom

Unit cell a=7.1171 b=4.1074 c=7.2782 alpha=90.00 beta=109.01 gamma=90.00
With the nearest neighbours (Å) after each atom.
Element x y z (fractional)
Tb 0.0000 0.0000 0.0000  6 As 2.94-2.95
Nd 0.5000 0.5000 0.0000  6 As 2.98
U 0.0000 0.5000 0.5000  6 As 2.88
U 0.5000 0.0000 0.5000  6 As 2.92
As 0.2428 0.0000 0.7404  3 U 2.88-2.92, 1 Tb 2.95, 2 Nd 2.98
As 0.2481 0.5000 0.2564  3 U 2.88-2.92, 2 Tb 2.94, 1 Nd 2.98
As 0.7519 0.5000 0.7436  3 U 2.88-2.92, 2 Tb 2.94, 1 Nd 2.98
As 0.7572 0.0000 0.2596  3 U 2.88-2.92, 1 Tb 2.95, 2 Nd 2.98

=====

# ThAlPd3

An optimized crystal structure of ThAlPd3 (PBE, the Alexandria database).

## Properties
electronic total energy = -59.660 eV/cell
crystal system = orthorhombic
total magnetization = 0.00 μB/cell
energy of formation = -0.618 eV/atom

Unit cell a=5.6353 b=7.1136 c=5.0963 alpha=90.00 beta=90.00 gamma=90.00
With the nearest neighbours (Å) after each atom.
Element x y z (fractional)
Th 0.0000 0.0000 0.0000  6 Pd 2.82-2.92
Th 0.5000 0.5000 0.0000  6 Pd 2.82-2.92
Al 0.0000 0.5000 0.5000  6 Pd 2.41-2.55
Al 0.5000 0.0000 0.5000  6 Pd 2.41-2.55
Pd 0.0000 0.5000 0.0000  2 Al 2.55, 2 Th 2.82
Pd 0.1210 0.1754 0.5000  2 Al 2.41-2.47
Pd 0.3790 0.6754 0.5000  2 Al 2.41-2.47
Pd 0.5000 0.0000 0.0000  2 Al 2.55, 2 Th 2.82
Pd 0.6210 0.3246 0.5000  2 Al 2.41-2.47
Pd 0.8790 0.8246 0.5000  2 Al 2.41-2.47

=====

# ZrNb2Ga

An optimized crystal structure of ZrNb2Ga (PBE, the Alexandria database).

## Properties
electronic total energy = -122.177 eV/cell
crystal system = tetragonal
total magnetization = 0.03 μB/cell
energy of formation = 0.293 eV/atom

Unit cell a=7.6894 b=7.6894 c=5.4135 alpha=90.00 beta=90.00 gamma=90.00
With the nearest neighbours (Å) after each atom.
Element x y z (fractional)
Zr 0.0000 0.0000 0.0000  2 Ga 2.71, 4 Nb 2.98
Zr 0.0000 0.5000 0.2500  2 Ga 2.71, 4 Nb 2.98
Zr 0.5000 0.0000 0.7500  2 Ga 2.71, 4 Nb 2.98
Zr 0.5000 0.5000 0.5000  2 Ga 2.71, 4 Nb 2.98
Nb 0.2165 0.2500 0.6250  2 Ga 2.63, 2 Nb 2.76
Nb 0.2500 0.7165 0.8750  2 Ga 2.63, 2 Nb 2.76
Nb 0.2500 0.7835 0.3750  2 Ga 2.63, 2 Nb 2.76
Nb 0.2835 0.2500 0.1250  2 Ga 2.63, 2 Nb 2.76
Nb 0.7165 0.7500 0.1250  2 Ga 2.63, 2 Nb 2.76
Nb 0.7500 0.2165 0.3750  2 Ga 2.63, 2 Nb 2.76
Nb 0.7500 0.2835 0.8750  2 Ga 2.63, 2 Nb 2.76
Nb 0.7835 0.7500 0.6250  2 Ga 2.63, 2 Nb 2.76
Ga 0.0000 0.0000 0.5000  4 Nb 2.63, 2 Zr 2.71
Ga 0.0000 0.5000 0.7500  4 Nb 2.63, 2 Zr 2.71
Ga 0.5000 0.0000 0.2500  4 Nb 2.63, 2 Zr 2.71
Ga 0.5000 0.5000 0.0000  4 Nb 2.63, 2 Zr 2.71

=====

# Ca2CuAg

An optimized crystal structure of Ca2CuAg (PBE, the Alexandria database).

## Properties
electronic total energy = -42.223 eV/cell
crystal system = tetragonal
total magnetization = 0.00 μB/cell
energy of formation = 0.099 eV/atom

Unit cell a=7.9389 b=7.9389 c=6.9297 alpha=90.00 beta=90.00 gamma=90.00
With the nearest neighbours (Å) after each atom.
Element x y z (fractional)
Ca 0.2332 0.2500 0.1250  2 Cu 2.85, 2 Ag 3.03
Ca 0.2500 0.7332 0.3750  2 Cu 2.85, 2 Ag 3.03
Ca 0.2500 0.7668 0.8750  2 Cu 2.85, 2 Ag 3.03
Ca 0.2668 0.2500 0.6250  2 Cu 2.85, 2 Ag 3.03
Ca 0.7332 0.7500 0.6250  2 Cu 2.85, 2 Ag 3.03
Ca 0.7500 0.2332 0.8750  2 Cu 2.85, 2 Ag 3.03
Ca 0.7500 0.2668 0.3750  2 Cu 2.85, 2 Ag 3.03
Ca 0.7668 0.7500 0.1250  2 Cu 2.85, 2 Ag 3.03
Cu 0.0000 0.0000 0.0000  4 Ca 2.85
Cu 0.0000 0.5000 0.2500  4 Ca 2.85
Cu 0.5000 0.0000 0.7500  4 Ca 2.85
Cu 0.5000 0.5000 0.5000  4 Ca 2.85
Ag 0.0000 0.0000 0.5000  4 Ca 3.03
Ag 0.0000 0.5000 0.7500  4 Ca 3.03
Ag 0.5000 0.0000 0.2500  4 Ca 3.03
Ag 0.5000 0.5000 0.0000  4 Ca 3.03